[1]
GGA-PBE Tl2ReMo, optimized geometry; excess energy over the best structure of this formula in the dataset = 0.7756 eV/atom; total magnetic moment = 2.29 μB/f.u.; volume = 19.323 A^3/atom; calculated density = 14.84 g/cm3; energy = -5.769 eV/atom; formation enthalpy at 0 K = 1234 meV/atom; density of states at the Fermi level = 4.57 states/eV/f.u.
1.0
2.9765 -4.3397 0.0000
2.9765 4.3397 0.0000
0.0000 0.0000 2.9917
Tl Re Mo
2 1 1
Direct
0.0000 0.5000 0.0000 Tl
0.5000 0.0000 0.0000 Tl
0.0000 0.0000 0.5000 Re
0.5000 0.5000 0.5000 Mo

---

[2]
GGA-PBE Tl2ReMo, optimized geometry; excess energy over the best structure of this formula in the dataset = 0.7798 eV/atom; total magnetic moment = 0.00 μB/f.u.; volume = 19.127 A^3/atom; calculated density = 15.00 g/cm3; energy = -5.765 eV/atom; formation enthalpy at 0 K = 1238 meV/atom; density of states at the Fermi level = 6.34 states/eV/f.u.
1.0
3.1040 0.0000 0.0000
0.0000 4.3288 0.0000
0.0000 0.0000 5.6940
Tl Re Mo
2 1 1
Direct
0.0000 0.0000 0.2487 Tl
0.0000 0.0000 0.7513 Tl
0.5000 0.5000 0.0000 Re
0.5000 0.5000 0.5000 Mo